The following is a GGA-PBE calculation of a relaxed structure of LaDySe3, from the Alexandria database.

Cell: 7.808 4.219 16.153 Å, 90.00 90.00 90.00°
Space group Pnma (No. 62)
Inequivalent atoms, fractional coordinates:
La: 0.140 0.250 0.200 [4 per cell]
Dy: 0.229 0.750 0.457 [4 per cell]
Se: 0.010 0.250 0.395 [4 per cell]
Se: 0.124 0.750 0.061 [4 per cell]
Se: 0.153 0.250 0.784 [4 per cell]

## Properties
Its relative energy among the computed polymorphs is 0.0 meV per atom. The calculation puts the formation energy from raw total energies at -1.97 eV/atom. For the magnetic moment, the calculation gives 0.00 μB per atom. Its volume is 26.61 Å³ per atom. The final energy comes out at -5.96 eV/atom.